[1]
Here is crystalline ScTa2Mo at its relaxed geometry from Alexandria via LeMat-Bulk. Energies are from PBEsol.

Uncorrected energy, eV per atom: -10.78
SG: P2/m
Relative energy among the computed polymorphs, eV/atom: 0.000
Formation enthalpy at 0 K, meV per atom: 93

a = 2.857 Å, b = 4.595 Å, c = 5.489 Å
α = 90.00°, β = 101.10°, γ = 90.00°
Fractional positions:
Mo (0.500, 0.500, 0.000)
Ta (0.704, 0.000, 0.765)
Ta (0.296, 0.000, 0.235)
Sc (0.000, 0.500, 0.500)



[2]
Here is crystalline ZrSeSBr2 at its relaxed geometry from Alexandria via LeMat-Bulk. Energies are from PBEsol.

Uncorrected energy, eV per atom: -4.49
SG: P4/mmm
Uncorrected formation energy, eV/atom: -0.2746

a = 5.125 Å, b = 5.242 Å, c = 5.242 Å
α = 90.00°, β = 90.00°, γ = 90.00°
Last column: magnetic moment on the atom in μB.
Fractional positions:
Br (0.000, 0.500, 0.000)  0.04
S (0.500, 0.500, 0.500)  1.01
Br (0.000, 0.000, 0.500)  0.04
Zr (0.000, 0.000, 0.000)  0.07
Se (0.500, 0.000, 0.000)  0.11



[3]
Here is crystalline Tc2BO at its relaxed geometry from Alexandria via LeMat-Bulk. Energies are from PBEsol.

Uncorrected energy, eV per atom: -8.63
SG: Fm-3m
Uncorrected formation energy, eV/atom: 0.0740

a = 3.815 Å, b = 3.815 Å, c = 3.815 Å
α = 60.00°, β = 60.00°, γ = 60.00°
Fractional positions:
B (0.000, 0.000, 0.000)
Tc (0.250, 0.250, 0.250)
Tc (0.750, 0.750, 0.750)
O (0.500, 0.500, 0.500)